The following is a DFT calculation (PBE) of a geometry-optimized Dy4Bi2C structure.

Unit cell a=6.9603 b=6.7369 c=8.9024 alpha=90.00 beta=108.70 gamma=90.00
Last column: nearest neighbours and their distance in Å.
Fractional positions:
1 Dy 0.5030 0.5009 0.2737  1 C 2.22
2 Dy 0.1257 0.7500 0.9383  1 C 2.25
3 Dy 0.8743 0.2500 0.0617  1 C 2.25
4 Dy 0.5030 0.9991 0.2737  1 C 2.22
5 Dy 0.9151 0.2500 0.6409  1 C 2.27
6 Dy 0.4970 0.0009 0.7263  1 C 2.22
7 Dy 0.4970 0.4991 0.7263  1 C 2.22
8 Dy 0.0849 0.7500 0.3591  1 C 2.27
9 Bi 0.7171 0.7500 0.0450  6 Dy 3.13-3.34
10 Bi 0.2829 0.2500 0.9550  6 Dy 3.13-3.34
11 Bi 0.2075 0.2500 0.4215  8 Dy 3.24-3.48
12 Bi 0.7925 0.7500 0.5785  8 Dy 3.24-3.48
13 C 0.2847 0.7500 0.2021  4 Dy 2.22-2.27
14 C 0.7153 0.2500 0.7979  4 Dy 2.22-2.27

Summary:
**E_form**: -517 meV/atom
**Excess energy over the best structure of this formula in the dataset**: 12.0 kJ per mole of atoms
**Symmetry**: P2_1/m

=====

The following is a DFT calculation (PBE) of a geometry-optimized LaHoC structure.

Unit cell a=6.6228 b=3.6269 c=3.6269 alpha=120.00 beta=90.00 gamma=90.00
Last column: nearest neighbours and their distance in Å.
Fractional positions:
1 C 0.3186 0.3333 0.6667  3 Ho 2.44, 3 La 2.60
2 Ho 0.1298 0.0000 0.0000  3 C 2.44
3 La 0.5516 0.6667 0.3333  3 C 2.60

Summary:
**E_form**: -180 meV/atom
**Excess energy over the best structure of this formula in the dataset**: 0.5 kJ per mole of atoms
**Symmetry**: P3m1

=====

The following is a DFT calculation (PBE) of a geometry-optimized CdMo3 structure.

Unit cell a=4.5649 b=4.5649 c=4.5649 alpha=60.00 beta=60.00 gamma=60.00
Last column: nearest neighbours and their distance in Å.
Fractional positions:
1 Cd 0.0000 0.0000 0.0000  8 Mo 2.80
2 Mo 0.2500 0.2500 0.2500  4 Cd 2.80, 4 Mo 2.80
3 Mo 0.5000 0.5000 0.5000  8 Mo 2.80
4 Mo 0.7500 0.7500 0.7500  4 Cd 2.80, 4 Mo 2.80

Summary:
**E_form**: 531 meV/atom
**Excess energy over the best structure of this formula in the dataset**: 30.1 kJ per mole of atoms
**Symmetry**: Fm-3m

=====

The following is a DFT calculation (PBE) of a geometry-optimized Y2Hg2Te structure.

Unit cell a=8.0246 b=8.0246 c=4.4550 alpha=90.00 beta=90.00 gamma=90.00
Last column: nearest neighbours and their distance in Å.
Fractional positions:
1 Y 0.3364 0.8364 0.0000  2 Te 3.00, 6 Hg 3.18-3.29
2 Y 0.8364 0.6636 0.0000  2 Te 3.00, 6 Hg 3.18-3.29
3 Y 0.6636 0.1636 0.0000  2 Te 3.00, 6 Hg 3.18-3.29
4 Y 0.1636 0.3364 0.0000  2 Te 3.00, 6 Hg 3.18-3.29
5 Te 0.0000 0.0000 0.0000  4 Y 3.00
6 Te 0.5000 0.5000 0.0000  4 Y 3.00
7 Hg 0.1368 0.6368 0.5000  1 Hg 3.10, 6 Y 3.18-3.29
8 Hg 0.6368 0.8632 0.5000  1 Hg 3.10, 6 Y 3.18-3.29
9 Hg 0.8632 0.3632 0.5000  1 Hg 3.10, 6 Y 3.18-3.29
10 Hg 0.3632 0.1368 0.5000  1 Hg 3.10, 6 Y 3.18-3.29

Summary:
**Energy relative to the elements, uncorrected**: -3.15 eV per formula unit
**Excess energy over the best structure of this formula in the dataset**: 0.0 kJ per mole of atoms
**Symmetry**: P4/mbm

=====

The following is a DFT calculation (PBE) of a geometry-optimized BaSr2Cr structure.

Unit cell a=7.4751 b=7.4751 c=6.3929 alpha=64.67 beta=64.67 gamma=33.96
Last column: nearest neighbours and their distance in Å.
Fractional positions:
1 Ba 0.5441 0.5441 0.4574  2 Cr 3.46
2 Cr 0.2539 0.2539 0.2426  2 Sr 3.36, 2 Ba 3.46
3 Sr 0.9534 0.9534 0.0481  2 Cr 3.36
4 Sr 0.7486 0.7486 0.7519  4 Cr 3.85-3.89, 2 Ba 4.12-4.13, 2 Sr 4.13-4.14

Summary:
**E_form**: 447 meV/atom
**Excess energy over the best structure of this formula in the dataset**: 3.8 kJ per mole of atoms
**Symmetry**: Cm

=====

The following is a DFT calculation (PBE) of a geometry-optimized PmYGe structure.

Unit cell a=4.3131 b=6.4155 c=6.3099 alpha=90.00 beta=90.00 gamma=109.64
Last column: nearest neighbours and their distance in Å.
Fractional positions:
1 Pm 0.5000 0.0000 0.5000  4 Ge 3.09, 2 Pm 3.15
2 Pm 0.5000 0.0000 0.0000  4 Ge 3.09, 2 Pm 3.15
3 Ge 0.1285 0.2570 0.2500  2 Y 2.92, 4 Pm 3.09
4 Ge 0.8715 0.7430 0.7500  2 Y 2.92, 4 Pm 3.09
5 Y 0.2089 0.4177 0.7500  2 Ge 2.92
6 Y 0.7911 0.5823 0.2500  2 Ge 2.92

Summary:
**E_form**: -613 meV/atom
**Excess energy over the best structure of this formula in the dataset**: 0.0 kJ per mole of atoms
**Symmetry**: Cmcm

=====

The following is a DFT calculation (PBE) of a geometry-optimized NaAsO2 structure.

Unit cell a=6.7210 b=6.7210 c=6.7210 alpha=27.95 beta=27.95 gamma=27.95
Last column: nearest neighbours and their distance in Å.
Fractional positions:
1 Na 0.0000 0.0000 0.0000  2 O 2.10
2 As 0.5000 0.5000 0.5000  6 O 2.19
3 O 0.8917 0.8917 0.8917  1 Na 2.10, 3 As 2.19
4 O 0.1083 0.1083 0.1083  1 Na 2.10, 3 As 2.19

Summary:
**Energy relative to the elements, uncorrected**: -3.39 eV per formula unit
**Symmetry**: R-3m

=====

The following is a DFT calculation (PBE) of a geometry-optimized TmLuTlNi structure.

Unit cell a=5.0248 b=5.0248 c=5.0248 alpha=60.00 beta=60.00 gamma=60.00
Last column: nearest neighbours and their distance in Å.
Fractional positions:
1 Ni 0.2500 0.2500 0.2500  4 Tm 3.08, 4 Lu 3.08
2 Tl 0.7500 0.7500 0.7500  4 Tm 3.08, 4 Lu 3.08
3 Lu 0.0000 0.0000 0.0000  4 Ni 3.08, 4 Tl 3.08
4 Tm 0.5000 0.5000 0.5000  4 Tl 3.08, 4 Ni 3.08

Summary:
**E_form**: -267 meV/atom
**Symmetry**: F-43m

=====

The following is a DFT calculation (PBE) of a geometry-optimized K2RbHgI4 structure.

Unit cell a=5.5665 b=8.4026 c=17.3744 alpha=90.00 beta=90.00 gamma=109.34
Last column: nearest neighbours and their distance in Å.
Fractional positions:
1 K 0.3696 0.7393 0.5511  6 I 3.50-3.72
2 K 0.6304 0.2607 0.0511  6 I 3.50-3.72
3 K 0.6304 0.2607 0.4489  6 I 3.50-3.72
4 K 0.3696 0.7393 0.9489  6 I 3.50-3.72
5 Rb 0.1393 0.2785 0.7500  6 I 3.85-4.17, 1 Hg 3.97
6 Rb 0.8607 0.7215 0.2500  6 I 3.85-4.17, 1 Hg 3.97
7 Hg 0.8888 0.7777 0.7500  4 I 2.92-3.24
8 Hg 0.1112 0.2223 0.2500  4 I 2.92-3.24
9 I 0.2631 0.5262 0.1256  1 Hg 3.24, 1 K 3.50
10 I 0.7369 0.4738 0.6256  1 Hg 3.24, 1 K 3.50
11 I 0.7369 0.4738 0.8744  1 Hg 3.24, 1 K 3.50
12 I 0.2631 0.5262 0.3744  1 Hg 3.24, 1 K 3.50
13 I 0.0000 0.0000 0.5000  4 K 3.58
14 I 0.0000 0.0000 0.0000  4 K 3.58
15 I 0.4438 0.8877 0.7500  2 Hg 2.92
16 I 0.5562 0.1123 0.2500  2 Hg 2.92

Summary:
**Energy relative to the elements, uncorrected**: -8.81 eV per formula unit
**Symmetry**: Cmcm

=====

The following is a DFT calculation (PBE) of a geometry-optimized MgGeBW2 structure.

Unit cell a=4.6486 b=4.5744 c=4.6486 alpha=90.00 beta=90.00 gamma=90.00
Last column: nearest neighbours and their distance in Å.
Fractional positions:
1 Ge 0.0000 0.0000 0.0000  2 Mg 2.29, 4 W 2.32
2 B 0.5000 0.5000 0.5000  8 W 3.26, 4 Mg 3.29
3 Mg 0.0000 0.5000 0.0000  2 Ge 2.29
4 W 0.0000 0.0000 0.5000  2 Ge 2.32
5 W 0.5000 0.0000 0.0000  2 Ge 2.32

Summary:
**E_form**: 2209 meV/atom
**Symmetry**: P4/mmm

=====

The following is a DFT calculation (PBE) of a geometry-optimized Ce3Sm2Pb6 structure.

Unit cell a=5.7937 b=5.7937 c=12.1972 alpha=103.74 beta=103.74 gamma=90.00
Last column: nearest neighbours and their distance in Å.
Fractional positions:
1 Ce 0.0000 0.0000 0.0000  2 Ce 2.65
2 Ce 0.8848 0.8848 0.7697  1 Ce 2.65
3 Ce 0.1152 0.1152 0.2303  1 Ce 2.65
4 Sm 0.4075 0.4075 0.8151  5 Pb 3.44-3.45
5 Sm 0.5925 0.5925 0.1849  5 Pb 3.44-3.45
6 Pb 0.1739 0.6739 0.3478  2 Ce 3.20, 5 Pb 3.29-3.50, 2 Sm 3.45
7 Pb 0.6739 0.1739 0.3478  2 Ce 3.20, 5 Pb 3.29-3.50, 2 Sm 3.45
8 Pb 0.8261 0.3261 0.6522  2 Ce 3.20, 5 Pb 3.29-3.50, 2 Sm 3.45
9 Pb 0.3261 0.8261 0.6522  2 Ce 3.20, 5 Pb 3.29-3.50, 2 Sm 3.45
10 Pb 0.7422 0.7422 0.4844  1 Ce 3.28, 8 Pb 3.29-3.48, 1 Sm 3.44
11 Pb 0.2578 0.2578 0.5156  1 Ce 3.28, 8 Pb 3.29-3.48, 1 Sm 3.44

Summary:
**E_form**: 231 meV/atom
**Symmetry**: I4/mmm

=====

The following is a DFT calculation (PBE) of a geometry-optimized LaCe2Tl3 structure.

Unit cell a=3.5366 b=3.5366 c=14.0561 alpha=90.00 beta=90.00 gamma=90.00
Last column: nearest neighbours and their distance in Å.
Fractional positions:
1 La 0.5000 0.5000 0.5000  8 Tl 3.47, 4 La 3.54
2 Ce 0.5000 0.5000 0.8356  8 Tl 3.40-3.41, 4 Ce 3.54
3 Ce 0.5000 0.5000 0.1644  8 Tl 3.40-3.41, 4 Ce 3.54
4 Tl 0.0000 0.0000 0.0000  8 Ce 3.40, 4 Tl 3.54
5 Tl 0.0000 0.0000 0.6711  4 Ce 3.41, 4 La 3.47, 4 Tl 3.54
6 Tl 0.0000 0.0000 0.3289  4 Ce 3.41, 4 La 3.47, 4 Tl 3.54

Summary:
**E_form**: -295 meV/atom
**Symmetry**: P4/mmm

=====

| no. | E_tot (eV/cell) | magnetization (μB per atom) | mass density (Mg/m³) |
| --- | --- | --- | --- |
| 1 | -78.02 | 0.000 | 9.07 |
| 2 | -19.27 | 0.000 | 6.95 |
| 3 | -31.28 | 0.000 | 9.88 |
| 4 | -39.64 | 0.000 | 8.18 |
| 5 | -13.12 | 1.086 | 3.39 |
| 6 | -35.34 | 0.000 | 6.19 |
| 7 | -19.27 | 0.000 | 3.66 |
| 8 | -18.21 | 0.000 | 11.23 |
| 9 | -36.95 | 0.000 | 3.78 |
| 10 | -27.75 | 0.155 | 7.99 |
| 11 | -46.95 | 0.282 | 8.46 |
| 12 | -25.67 | 0.458 | 9.75 |